5
Lattice="4.923 0.000 0.000 0.000 4.923 0.000 0.000 0.000 4.923" Properties=species:S:1:pos:R:3 comment="PBE ZnGe3Te, relaxed" crystal_system=cubic n_ef_per_ev_fu=3.8 polymorph_energy_mev_per_atom=0.0 e_form_raw_ev_per_atom=0.485 energy_ev_per_atom=-3.169 pbc="T T T"
Zn 0.000 0.000 0.000
Te 2.462 2.462 2.462
Ge 2.462 0.000 0.000
Ge 0.000 2.462 0.000
Ge 0.000 0.000 2.462